! SbTeAu2 PBE relaxed; values from VASP
&SYSTEM
  ibrav = 0, nat = 4, ntyp = 3
/
ATOMIC_SPECIES
Au 196.97 Au.upf
Sb 121.76 Sb.upf
Te 127.60 Te.upf
CELL_PARAMETERS angstrom
-1.216 1.031 -3.210
-3.307 0.299 1.349
1.372 7.153 1.778
ATOMIC_POSITIONS angstrom
Au 0.044 0.232 0.058
Au -1.936 2.362 -0.509
Sb 0.582 3.037 0.755
Te -1.156 6.429 0.502
! - SG = No. 99
! - relative energy among the computed polymorphs (eV/f.u.) = 0.74
! - total magnetic moment (μB/f.u.) = 0.00
! - formation energy without anion corrections (meV/atom) = 147